In2CoTc, optimized geometry, DFT GGA-PBE; energy of formation from the pure elements = 0.297 eV/atom
1.0
-1.5580 2.2667 4.8362
1.5580 -2.2667 4.8362
1.5580 2.2667 -4.8362
In Co Tc
2 1 1
Cartesian
0.0000 0.0000 0.0000 In
0.0000 2.2667 2.0997 In
1.5580 0.0000 2.3660 Co
0.0000 0.0000 4.3662 Tc



CaCo2Ir, optimized geometry, DFT GGA-PBE; energy of formation from the pure elements = 0.302 eV/atom
1.0
2.7830 0.0000 0.0000
0.0000 4.1391 0.0000
-1.3530 0.0000 5.6010
Ca Co Ir
1 2 1
Cartesian
0.0000 0.0000 0.0000 Ca
0.2403 2.0696 3.8365 Co
1.1896 2.0696 1.7645 Co
-0.6765 0.0000 2.8005 Ir



BMoI2, optimized geometry, DFT GGA-PBE; E_form (uncorrected) = 1522.0 meV per atom
1.0
0.0000 3.3984 3.3984
3.3984 0.0000 3.3984
3.3984 3.3984 0.0000
B Mo I
1 1 2
Cartesian
0.0000 0.0000 0.0000 B
3.3984 3.3984 3.3984 Mo
1.6992 1.6992 1.6992 I
5.0975 5.0975 5.0975 I



Ce2NdTc, optimized geometry, DFT GGA-PBE; energy of formation from the pure elements = -0.055 eV/atom
1.0
14.4389 0.0000 0.0000
0.0000 9.4235 0.0000
0.0000 0.0000 6.3915
Ce Nd Tc
16 8 8
Cartesian
0.5725 0.5870 1.5595 Ce
0.5725 4.1247 1.5595 Ce
3.0372 5.3160 6.0758 Ce
3.0372 8.8192 6.0758 Ce
4.1822 0.6043 2.8801 Ce
4.1822 4.1074 2.8801 Ce
6.6469 5.2988 4.7553 Ce
6.6469 8.8364 4.7553 Ce
7.7920 0.5870 1.6362 Ce
7.7920 4.1247 1.6362 Ce
10.2567 5.3160 3.5114 Ce
10.2567 8.8192 3.5114 Ce
11.4017 0.6043 0.3157 Ce
11.4017 4.1074 0.3157 Ce
13.8664 5.2988 4.8320 Ce
13.8664 8.8364 4.8320 Ce
1.3652 2.3559 4.6371 Nd
2.1951 7.0676 3.0321 Nd
5.0243 2.3559 6.2279 Nd
5.8542 7.0676 1.4414 Nd
8.5847 2.3559 4.9501 Nd
9.4146 7.0676 0.1636 Nd
12.2438 2.3559 3.3593 Nd
13.0737 7.0676 1.7544 Nd
1.3355 7.0676 6.3430 Tc
2.2884 2.3559 1.4045 Tc
4.9311 7.0676 4.6002 Tc
5.8840 2.3559 3.1472 Tc
8.5549 7.0676 3.2443 Tc
9.5079 2.3559 1.7913 Tc
12.1505 7.0676 4.9870 Tc
13.1035 2.3559 0.0485 Tc



TlAg2I, optimized geometry, DFT GGA-PBE; E_form (uncorrected) = 253.2 meV per atom
1.0
0.0000 3.7520 3.7520
3.7520 0.0000 3.7520
3.7520 3.7520 0.0000
Tl Ag I
1 2 1
Cartesian
0.0000 0.0000 0.0000 Tl
1.8760 1.8760 1.8760 Ag
5.6280 5.6280 5.6280 Ag
3.7520 3.7520 3.7520 I



Mg8ZnIn2, optimized geometry, DFT GGA-PBE; energy of formation from the pure elements = 0.013 eV/atom
1.0
4.0091 -6.7814 0.0000
4.0091 6.7814 0.0000
-2.1401 0.0000 4.7071
Mg Zn In
8 1 2
Cartesian
0.3282 1.4875 2.9392 Mg
4.0091 4.0062 0.0000 Mg
0.3282 -1.4875 2.9392 Mg
2.6560 0.0000 0.8897 Mg
3.2221 0.0000 3.8174 Mg
5.5498 1.4875 1.7679 Mg
4.0091 -4.0062 0.0000 Mg
5.5498 -1.4875 1.7679 Mg
0.0000 0.0000 0.0000 Zn
2.9390 2.6599 2.3536 In
2.9390 -2.6599 2.3536 In



Number 1: total magnetic moment 0.450 μB per atom. Number 2: total magnetic moment 0.877 μB per atom. Number 3: total magnetic moment 0.000 μB per atom. Number 4: total magnetic moment 0.000 μB per atom. Number 5: total magnetic moment 0.000 μB per atom. Number 6: total magnetic moment 0.000 μB per atom.